Entry 1:
Na2LaGeF | PBE | optimized geometry

a b c (Å): 4.557 4.557 5.286
angles (deg): 90.00 90.00 90.00
Fractional coordinates of all 5 atoms:
Na  0.000  0.500  0.000
Na  0.500  0.000  0.000
La  0.000  0.000  0.500
Ge  0.500  0.500  0.500
F  0.000  0.000  0.000

Entry 2:
LaGeOF2 | PBE | optimized geometry

a b c (Å): 4.425 4.425 4.178
angles (deg): 90.00 90.00 90.00
Fractional coordinates of all 5 atoms:
La  0.000  0.000  0.000
Ge  0.500  0.500  0.500
O  0.500  0.500  0.000
F  0.000  0.500  0.500
F  0.500  0.000  0.500

Entry 3:
LaGeOF2 | PBE | optimized geometry

a b c (Å): 4.678 4.678 4.690
angles (deg): 90.00 90.00 90.00
Fractional coordinates of all 5 atoms:
La  0.000  0.000  0.000
Ge  0.500  0.500  0.500
O  0.000  0.000  0.500
F  0.000  0.500  0.000
F  0.500  0.000  0.000

Entry 4:
LaGePdF2 | PBE | optimized geometry

a b c (Å): 4.465 4.465 5.425
angles (deg): 90.00 90.00 90.00
Fractional coordinates of all 5 atoms:
La  0.000  0.000  0.000
Ge  0.500  0.500  0.000
Pd  0.000  0.000  0.500
F  0.000  0.500  0.500
F  0.500  0.000  0.500

Entry 5:
LaGeRuF | PBE | optimized geometry

a b c (Å): 4.300 4.300 7.976
angles (deg): 90.00 90.00 90.00
Fractional coordinates of all 8 atoms:
La  0.250  0.250  0.187
La  0.750  0.750  0.813
Ge  0.250  0.250  0.651
Ge  0.750  0.750  0.349
Ru  0.250  0.750  0.500
Ru  0.750  0.250  0.500
F  0.250  0.750  0.000
F  0.750  0.250  0.000

Entry 6:
LaSn2GeF | PBE | optimized geometry

a b c (Å): 5.028 5.028 4.949
angles (deg): 90.00 90.00 90.00
Fractional coordinates of all 5 atoms:
La  0.000  0.000  0.000
Sn  0.000  0.500  0.500
Sn  0.500  0.000  0.500
Ge  0.500  0.500  0.000
F  0.000  0.000  0.500

Entry 7:
LaY2GeF | PBE | optimized geometry

a b c (Å): 5.906 5.906 4.216
angles (deg): 90.00 90.00 90.00
Fractional coordinates of all 5 atoms:
La  0.000  0.000  0.000
Y  0.000  0.500  0.500
Y  0.500  0.000  0.500
Ge  0.500  0.500  0.500
F  0.500  0.500  0.000

Entry 8:
LiGe2F5 | PBE | optimized geometry

a b c (Å): 7.361 10.533 6.336
angles (deg): 90.00 90.00 90.00
Fractional coordinates of all 32 atoms:
Li  0.000  0.052  0.250
Li  0.000  0.948  0.750
Li  0.500  0.448  0.750
Li  0.500  0.552  0.250
Ge  0.125  0.342  0.507
Ge  0.125  0.658  0.007
Ge  0.375  0.158  0.007
Ge  0.375  0.842  0.507
Ge  0.625  0.158  0.493
Ge  0.625  0.842  0.993
Ge  0.875  0.342  0.993
Ge  0.875  0.658  0.493
F  0.000  0.426  0.250
F  0.000  0.574  0.750
F  0.150  0.076  0.941
F  0.150  0.924  0.441
F  0.180  0.198  0.336
F  0.180  0.802  0.836
F  0.320  0.302  0.836
F  0.320  0.698  0.336
F  0.350  0.424  0.441
F  0.350  0.576  0.941
F  0.500  0.074  0.750
F  0.500  0.926  0.250
F  0.650  0.424  0.059
F  0.650  0.576  0.559
F  0.680  0.302  0.664
F  0.680  0.698  0.164
F  0.820  0.198  0.164
F  0.820  0.802  0.664
F  0.850  0.076  0.559
F  0.850  0.924  0.059

Entry 9:
LiGeF3 | PBE | optimized geometry

a b c (Å): 5.261 4.858 14.397
angles (deg): 90.00 92.71 90.00
Fractional coordinates of all 20 atoms:
Li  0.143  0.049  0.194
Li  0.143  0.451  0.694
Li  0.857  0.549  0.306
Li  0.857  0.951  0.806
Ge  0.293  0.172  0.915
Ge  0.293  0.328  0.415
Ge  0.707  0.672  0.585
Ge  0.707  0.828  0.085
F  0.078  0.216  0.308
F  0.078  0.284  0.808
F  0.084  0.643  0.412
F  0.084  0.857  0.912
F  0.477  0.507  0.664
F  0.477  0.993  0.164
F  0.523  0.007  0.836
F  0.523  0.493  0.336
F  0.916  0.143  0.088
F  0.916  0.357  0.588
F  0.922  0.716  0.192
F  0.922  0.784  0.692

Entry 10:
LiGeF | PBE | optimized geometry

a b c (Å): 2.736 2.816 11.843
angles (deg): 93.59 96.31 90.00
Fractional coordinates of all 6 atoms:
Li  0.000  0.000  0.000
Li  0.419  0.455  0.829
Ge  0.672  0.335  0.316
Ge  0.766  0.885  0.513
F  0.503  0.501  0.006
F  0.916  0.953  0.823

Entry 11:
LiGe3F | PBE | optimized geometry

a b c (Å): 4.608 4.608 4.608
angles (deg): 90.00 90.00 90.00
Fractional coordinates of all 5 atoms:
Li  0.000  0.000  0.000
Ge  0.000  0.500  0.500
Ge  0.500  0.000  0.500
Ge  0.500  0.500  0.000
F  0.500  0.500  0.500

Entry 12:
LiGeF | PBE | optimized geometry

a b c (Å): 3.592 3.690 8.166
angles (deg): 90.00 91.27 90.00
Fractional coordinates of all 6 atoms:
Li  0.249  0.250  0.487
Li  0.751  0.750  0.513
Ge  0.251  0.750  0.018
Ge  0.749  0.250  0.982
F  0.247  0.750  0.435
F  0.753  0.250  0.565

no.,total energy (eV/atom),V (Å³/atom)
1,-4.09,21.96
2,-5.57,16.36
3,-5.88,20.53
4,-4.56,21.63
5,-6.99,18.44
6,-4.63,25.03
7,-5.20,29.42
8,-4.88,15.35
9,-4.88,18.37
10,-4.59,15.08
11,-3.63,19.57
12,-4.46,18.03